This record from Alexandria describes crystalline Tb7DyY5 at its relaxed geometry. The functional is PBE-GGA.

Cell: 8.7209 8.7209 8.7209 Å, 134.73 100.03 97.01°
Element x y z (fractional)
Tb 0.0000 0.0000 0.0000
Tb 0.0774 0.7499 0.3275
Tb 0.3041 0.3041 0.0000
Tb 0.4224 0.7499 0.6725
Tb 0.4991 0.9991 0.5000
Tb 0.5795 0.2509 0.3286
Tb 0.9222 0.2509 0.6714
Dy 0.6956 0.6956 0.0000
Y 0.0006 0.5006 0.5000
Y 0.2750 0.2680 0.5416
Y 0.2750 0.7335 0.0070
Y 0.7265 0.2680 0.9930
Y 0.7265 0.7335 0.4584


This record from Alexandria describes crystalline TbDy10Y4 at its relaxed geometry. The functional is PBE-GGA.

Cell: 9.4269 9.4269 9.4269 Å, 99.59 99.59 131.82°
Element x y z (fractional)
Tb 0.0000 0.0000 0.0000
Dy 0.0498 0.3484 0.8998
Dy 0.1499 0.0498 0.7014
Dy 0.2500 0.7500 0.5000
Dy 0.3484 0.4486 0.2986
Dy 0.4486 0.1499 0.1002
Dy 0.5514 0.8501 0.8998
Dy 0.6516 0.5514 0.7014
Dy 0.7500 0.2500 0.5000
Dy 0.8501 0.9502 0.2986
Dy 0.9502 0.6516 0.1002
Y 0.2004 0.3996 0.6000
Y 0.3996 0.7996 0.1992
Y 0.6004 0.2004 0.8008
Y 0.7996 0.6004 0.4000


This record from Alexandria describes crystalline TbDy2Y3 at its relaxed geometry. The functional is PBE-GGA.

Cell: 9.0454 9.0454 14.1852 Å, 116.92 116.92 22.35°
Element x y z (fractional)
Tb 0.0620 0.0620 0.1437
Tb 0.9380 0.9380 0.8563
Dy 0.1576 0.1576 0.9686
Dy 0.3187 0.3187 0.6169
Dy 0.6813 0.6813 0.3831
Dy 0.8424 0.8424 0.0314
Y 0.0996 0.0996 0.5256
Y 0.2400 0.2400 0.7938
Y 0.4614 0.4614 0.2862
Y 0.5386 0.5386 0.7138
Y 0.7600 0.7600 0.2062
Y 0.9004 0.9004 0.4744

Properties
The calculation puts the energy above the most stable polymorph in this dataset at 9.23 kJ per mole of atoms.


This record from Alexandria describes crystalline Tb2Dy7Y at its relaxed geometry. The functional is PBE-GGA.

Cell: 6.1390 6.1488 9.3890 Å, 102.58 108.99 99.69°
Element x y z (fractional)
Tb 0.0999 0.4991 0.1997
Tb 0.9001 0.5009 0.8003
Dy 0.1001 0.0004 0.7004
Dy 0.2990 0.5001 0.6001
Dy 0.3000 0.0002 0.0994
Dy 0.5000 0.5000 0.0000
Dy 0.7000 0.9998 0.9006
Dy 0.7010 0.4999 0.3999
Dy 0.8999 0.9996 0.2996
Y 0.5000 0.0000 0.5000

Properties
The calculation puts the energy above the most stable polymorph in this dataset at 0.00 kJ per mole of atoms.


This record from Alexandria describes crystalline Tb2DyY at its relaxed geometry. The functional is PBE-GGA.

Cell: 5.0360 5.0360 5.0314 Å, 90.00 90.00 90.00°
Element x y z (fractional)
Tb 0.0000 0.5000 0.0000
Tb 0.5000 0.0000 0.0000
Dy 0.0000 0.0000 0.5000
Y 0.5000 0.5000 0.5000

Properties
The calculation puts the energy above the most stable polymorph in this dataset at 1.24 kJ per mole of atoms.


This record from Alexandria describes crystalline Tb2Dy6Y5 at its relaxed geometry. The functional is PBE-GGA.

Cell: 11.6187 20.2558 3.5881 Å, 90.00 90.00 90.00°
Element x y z (fractional)
Tb 0.1672 0.2110 0.0000
Tb 0.3328 0.7110 0.0000
Tb 0.6672 0.2890 0.0000
Tb 0.8328 0.7890 0.0000
Dy 0.0610 0.9202 0.0000
Dy 0.0827 0.6326 0.0000
Dy 0.1718 0.3650 0.5000
Dy 0.3282 0.8650 0.5000
Dy 0.4173 0.1326 0.0000
Dy 0.4390 0.4202 0.0000
Dy 0.5610 0.5798 0.0000
Dy 0.5827 0.8674 0.0000
Dy 0.6718 0.1350 0.5000
Dy 0.8282 0.6350 0.5000
Dy 0.9173 0.3674 0.0000
Dy 0.9390 0.0798 0.0000
Y 0.0000 0.5000 0.5000
Y 0.0906 0.7746 0.5000
Y 0.1977 0.0518 0.5000
Y 0.3023 0.5518 0.5000
Y 0.4094 0.2746 0.5000
Y 0.5000 0.0000 0.5000
Y 0.5906 0.7254 0.5000
Y 0.6977 0.4482 0.5000
Y 0.8023 0.9482 0.5000
Y 0.9094 0.2254 0.5000


Number 1: E_form 0.27 eV per atom. Number 2: E_form 0.75 eV per atom. Number 3: E_form 0.12 eV per atom. Number 4: E_form 0.02 eV per atom. Number 5: E_form 0.02 eV per atom. Number 6: E_form 0.10 eV per atom.